# CrTe2NCl, optimized geometry, DFT PBE
# Electronic total energy in eV/f.u.: -25.1
# Formation energy without anion corrections in eV/f.u.: 0.99
# Relative energy among the computed polymorphs in meV per atom: 0
# DOS(E_F) in states/eV per cell: 2.4
data_CrTe2NCl
_cell_length_a 5.3640
_cell_length_b 5.3640
_cell_length_c 3.5050
_cell_angle_alpha 90.00
_cell_angle_beta 90.00
_cell_angle_gamma 90.00
_symmetry_space_group_name_H-M 'P 1'
_symmetry_Int_Tables_number 1
loop_
_symmetry_equiv_pos_as_xyz
'x,y,z'
loop_
_atom_site_label
_atom_site_type_symbol
_atom_site_fract_x
_atom_site_fract_y
_atom_site_fract_z
Te1 Te 0.5000 0.0000 0.0000
Te2 Te 0.0000 0.5000 0.0000
Cl1 Cl 0.5000 0.5000 0.5000
Cr1 Cr 0.0000 0.0000 0.0000
N1 N 0.0000 0.0000 0.5000